{"formula": "Pr2PuSi3Pt12", "functional": "PBE", "state": "relaxed", "formation_energy_uncorrected_ev_per_fu": -8.88, "lattice": [[4.145, 2.393, 6.202], [-4.145, 2.393, 6.202], [0.000, -4.786, 6.202]], "species": ["Pr", "Pr", "Pu", "Si", "Si", "Si", "Pt", "Pt", "Pt", "Pt", "Pt", "Pt", "Pt", "Pt", "Pt", "Pt", "Pt", "Pt"], "fractional_positions": [[0.100, 0.100, 0.100], [0.900, 0.900, 0.900], [0.500, 0.500, 0.500], [0.000, 0.500, 0.500], [0.500, 0.000, 0.500], [0.500, 0.500, 0.000], [0.101, 0.641, 0.641], [0.151, 0.151, 0.599], [0.151, 0.599, 0.151], [0.359, 0.359, 0.899], [0.359, 0.899, 0.359], [0.401, 0.849, 0.849], [0.599, 0.151, 0.151], [0.641, 0.101, 0.641], [0.641, 0.641, 0.101], [0.849, 0.401, 0.849], [0.849, 0.849, 0.401], [0.899, 0.359, 0.359]]}

{"formula": "Pr2PuSi3Pt4", "functional": "PBE", "state": "relaxed", "formation_energy_uncorrected_ev_per_fu": -9.57, "lattice": [[4.303, 0.000, 0.000], [0.000, 4.303, 0.000], [0.000, 0.000, 10.826]], "species": ["Pr", "Pr", "Pu", "Si", "Si", "Si", "Pt", "Pt", "Pt", "Pt"], "fractional_positions": [[0.000, 0.500, 0.230], [0.500, 0.000, 0.770], [0.000, 0.000, 0.500], [0.000, 0.500, 0.884], [0.500, 0.000, 0.116], [0.500, 0.500, 0.500], [0.000, 0.000, 0.000], [0.000, 0.500, 0.663], [0.500, 0.000, 0.337], [0.500, 0.500, 0.000]]}

{"formula": "Pr2PuSi4Pt3", "functional": "PBE", "state": "relaxed", "formation_energy_uncorrected_ev_per_fu": -8.54, "lattice": [[4.286, 0.000, 0.000], [0.000, 4.286, 0.000], [0.000, 0.000, 10.904]], "species": ["Pr", "Pr", "Pu", "Si", "Si", "Si", "Si", "Pt", "Pt", "Pt"], "fractional_positions": [[0.000, 0.500, 0.232], [0.500, 0.000, 0.768], [0.000, 0.000, 0.500], [0.000, 0.000, 0.000], [0.000, 0.500, 0.670], [0.500, 0.000, 0.330], [0.500, 0.500, 0.000], [0.000, 0.500, 0.892], [0.500, 0.000, 0.108], [0.500, 0.500, 0.500]]}

{"formula": "PrPuTlPt", "functional": "PBE", "state": "relaxed", "lattice": [[0.000, 3.729, 3.729], [3.729, 0.000, 3.729], [3.729, 3.729, 0.000]], "species": ["Pr", "Pu", "Tl", "Pt"], "fractional_positions": [[0.000, 0.000, 0.000], [0.500, 0.500, 0.500], [0.750, 0.750, 0.750], [0.250, 0.250, 0.250]]}

Respective electronic total energy values: -6.752, -7.390, -7.224, -7.268 eV/atom.